Below is Y2Zn2Pd after structural relaxation, with properties calculated at the PBE level.

POSCAR file:
```
Y2Zn2Pd
1.0
7.046 0.000 0.000
0.000 7.046 0.000
0.000 0.000 4.295
Y Zn Pd
4 4 2
direct
0.176 0.324 0.000
0.324 0.824 0.000
0.676 0.176 0.000
0.824 0.676 0.000
0.127 0.627 0.500
0.373 0.127 0.500
0.627 0.873 0.500
0.873 0.373 0.500
0.000 0.000 0.500
0.500 0.500 0.500
```

Values from the calculation:
* D(E_F): 1.2172 states/eV per atom
* total energy: -4.60 eV/atom
* ΔE to the lowest computed polymorph: 8.5 kJ/mol of atoms
* calculated formation energy: -2.3 eV/f.u.
* SG: P4/mbm